# PBE PbIBr, optimized geometry
data_PbIBr
_symmetry_space_group_name_H-M 'F -4 3 m'
_symmetry_Int_Tables_number 216
_symmetry_space_group_name_Hall 'F -4 2 3'
_cell_length_a 7.6963
_cell_length_b 7.6963
_cell_length_c 7.6963
_cell_angle_alpha 90.00
_cell_angle_beta 90.00
_cell_angle_gamma 90.00
loop_
_atom_site_label
_atom_site_type_symbol
_atom_site_fract_x
_atom_site_fract_y
_atom_site_fract_z
Pb1 Pb 0.0000 0.0000 0.0000
I1 I 0.2500 0.2500 0.7500
Br1 Br 0.2500 0.2500 0.2500
# ρ   6.03 Mg/m³
# Crystal system   cubic
# Formation energy without anion corrections   -690 meV/atom


# PBE PbI2Br6, optimized geometry
data_PbI2Br6
_symmetry_space_group_name_H-M 'C 1 2/c 1'
_symmetry_Int_Tables_number 15
_symmetry_space_group_name_Hall '-C 2yc'
_cell_length_a 16.3748
_cell_length_b 12.9921
_cell_length_c 7.6312
_cell_angle_alpha 90.00
_cell_angle_beta 106.74
_cell_angle_gamma 90.00
loop_
_atom_site_label
_atom_site_type_symbol
_atom_site_fract_x
_atom_site_fract_y
_atom_site_fract_z
Pb1 Pb 0.0000 0.0719 0.2500
I1 I 0.1886 0.4204 0.7921
Br1 Br 0.0635 0.4227 0.3935
Br2 Br 0.0996 0.0830 0.6538
Br3 Br 0.1987 0.2070 0.2397
# ρ   4.02 Mg/m³
# Crystal system   monoclinic
# Formation energy without anion corrections   -264 meV/atom


# PBE PbIBr, optimized geometry
data_PbIBr
_symmetry_space_group_name_H-M 'P 3 m 1'
_symmetry_Int_Tables_number 156
_symmetry_space_group_name_Hall 'P 3 -2"'
_cell_length_a 4.5708
_cell_length_b 4.5708
_cell_length_c 7.1152
_cell_angle_alpha 90.00
_cell_angle_beta 90.00
_cell_angle_gamma 120.00
loop_
_atom_site_label
_atom_site_type_symbol
_atom_site_fract_x
_atom_site_fract_y
_atom_site_fract_z
Pb1 Pb 0.0000 0.0000 0.0000
I1 I 0.6667 0.3333 0.2693
Br1 Br 0.3333 0.6667 0.7737
# ρ   5.34 Mg/m³
# Crystal system   trigonal
# Formation energy without anion corrections   -780 meV/atom


# PBE PbI2Br6, optimized geometry
data_PbI2Br6
_symmetry_space_group_name_H-M 'C 1 2/c 1'
_symmetry_Int_Tables_number 15
_symmetry_space_group_name_Hall '-C 2yc'
_cell_length_a 17.8790
_cell_length_b 14.0618
_cell_length_c 7.9873
_cell_angle_alpha 90.00
_cell_angle_beta 107.56
_cell_angle_gamma 90.00
loop_
_atom_site_label
_atom_site_type_symbol
_atom_site_fract_x
_atom_site_fract_y
_atom_site_fract_z
Pb1 Pb 0.0000 0.0656 0.2500
I1 I 0.1526 0.3576 0.1873
Br1 Br 0.1012 0.0630 0.6369
Br2 Br 0.1454 0.4920 0.4401
Br3 Br 0.1496 0.1700 0.1583
# ρ   3.26 Mg/m³
# Crystal system   monoclinic
# Formation energy without anion corrections   -241 meV/atom


What is the formation energy without anion corrections in the third record?
-780 meV/atom


Look up the ρ of the fourth one.
3.26 Mg/m³